Tm2GaPd3, relaxed, DFT PBE; DOS at the Fermi energy = 5.2 states/eV per cell; uncorrected energy = -5.38 eV/atom
1.0
5.7284 0.0000 0.0000
0.0000 6.7811 0.1642
0.0000 -2.6839 6.2295
Tm Ga Pd
4 2 6
Direct
0.7197 0.1421 0.4966
0.2197 0.5034 0.8579
0.2197 0.8579 0.5034
0.7197 0.4966 0.1421
0.7195 0.7816 0.7816
0.2195 0.2184 0.2184
0.4696 0.1309 0.8692
0.9696 0.1308 0.8691
0.4696 0.4999 0.4999
0.9696 0.5001 0.5001
0.9696 0.8691 0.1308
0.4696 0.8692 0.1309